# PBE+U MnInN2O, relaxed
# Total magnetization (μB/f.u.): 1.7
# Mass density (Mg/m³): 6.1
# Total energy (Ry per atom): -0.433
data_MnInN2O
_chemical_formula_sum 'Mn1 In1 N2 O1'
_cell_length_a 3.857
_cell_length_b 3.857
_cell_length_c 3.880
_cell_angle_alpha 90.00
_cell_angle_beta 90.00
_cell_angle_gamma 90.00
_symmetry_space_group_name_H-M 'P 4/m m m'
_symmetry_Int_Tables_number 123
_symmetry_space_group_name_Hall '-P 4 2'
loop_
_atom_site_label
_atom_site_type_symbol
_atom_site_fract_x
_atom_site_fract_y
_atom_site_fract_z
Mn1 Mn 0.000 0.000 0.000
In1 In 0.500 0.500 0.500
N1 N 0.000 0.500 0.000
O1 O 0.000 0.000 0.500